Record 1
A relaxed structure of La6Pm2PrNd. Source: Alexandria via LeMat-Bulk, functional PBE-GGA.

Cell and atoms, written as POSCAR:
```
La6Pm2PrNd
1.0
9.2276 0.0000 1.0703
0.0000 7.0881 0.0000
-2.2955 -3.5440 5.2991
La Pm Pr Nd
6 2 1 1
Direct
0.4229 0.6284 0.2568 La
0.1981 0.0389 0.6125 La
0.8019 0.4264 0.3875 La
0.1981 0.5736 0.6125 La
0.8019 0.9611 0.3875 La
0.5771 0.3716 0.7432 La
0.1700 0.0773 0.1545 Pm
0.8300 0.9227 0.8455 Pm
0.0000 0.5000 0.0000 Pr
0.5000 0.0000 0.0000 Nd
```

Record 2
A relaxed structure of La3Pm6Pr2Nd. Source: Alexandria via LeMat-Bulk, functional PBE-GGA.

Cell and atoms, written as POSCAR:
```
La3Pm6Pr2Nd
1.0
-3.4818 -2.6657 -4.6689
5.8629 2.2531 -1.2563
3.8829 -10.5827 4.6209
La Pm Pr Nd
3 6 2 1
Direct
0.1669 0.8331 0.5000 La
0.8331 0.1669 0.5000 La
0.5000 0.5000 0.5000 La
0.9173 0.5841 0.7514 Pm
0.7497 0.7497 0.2488 Pm
0.0827 0.4159 0.2486 Pm
0.5841 0.9173 0.7514 Pm
0.2503 0.2503 0.7512 Pm
0.4159 0.0827 0.2486 Pm
0.3334 0.6666 0.0000 Pr
0.6666 0.3334 0.0000 Pr
0.0000 0.0000 0.0000 Nd
```

Record 3
A relaxed structure of La2PmPr2Nd2. Source: Alexandria via LeMat-Bulk, functional PBE-GGA.

Cell and atoms, written as POSCAR:
```
La2PmPr2Nd2
1.0
5.2453 0.0000 0.0000
-2.6226 5.8548 0.2993
0.0000 -1.5891 8.1369
La Pm Pr Nd
2 1 2 2
Direct
0.1425 0.2850 0.4271 La
0.8575 0.7150 0.5729 La
0.0000 0.0000 0.0000 Pm
0.7150 0.4300 0.1416 Pr
0.2850 0.5700 0.8584 Pr
0.5708 0.1415 0.7155 Nd
0.4292 0.8585 0.2845 Nd
```

Record 4
A relaxed structure of La2PmPr4Nd. Source: Alexandria via LeMat-Bulk, functional PBE-GGA.

Cell and atoms, written as POSCAR:
```
La2PmPr4Nd
1.0
5.2485 0.0000 0.0000
0.0000 5.1690 0.8870
0.0001 3.4252 11.2504
La Pm Pr Nd
2 1 4 1
Direct
0.0000 0.0000 0.0000 La
0.5000 0.0000 0.5000 La
0.0000 0.5000 0.5000 Pm
0.0000 0.7511 0.7494 Pr
0.0000 0.2489 0.2506 Pr
0.5000 0.7497 0.2504 Pr
0.5000 0.2503 0.7496 Pr
0.5000 0.5000 0.0000 Nd
```

no.,formation energy from the elements (eV per atom)
1,0.17
2,0.01
3,0.02
4,0.01